# 1
Tb3TmH8, optimized geometry, DFT PBE; space group = No. 221; total magnetic moment = 0.000 μB per cell; calculated volume = 138.98 Å³ per cell; DFT total energy = -4.481 eV per atom
1.0
5.180 0.000 0.000
0.000 5.180 0.000
0.000 0.000 5.180
Tb Tm H
3 1 8
direct
0.500 0.500 0.000
0.500 0.000 0.500
0.000 0.500 0.500
0.000 0.000 0.000
0.246 0.246 0.754
0.246 0.754 0.246
0.754 0.246 0.246
0.754 0.754 0.754
0.754 0.754 0.246
0.754 0.246 0.754
0.246 0.754 0.754
0.246 0.246 0.246

---

# 2
Tb2TmH, optimized geometry, DFT PBE; space group = No. 166; total magnetic moment = 0.000 μB per cell; calculated volume = 94.43 Å³ per cell; DFT total energy = -4.452 eV per atom
1.0
3.596 0.000 0.000
1.798 3.114 0.000
1.798 1.038 8.434
H Tm Tb
1 1 2
direct
0.000 0.000 0.000
0.500 0.500 0.500
0.721 0.721 0.836
0.279 0.279 0.164

---

# 3
TbUH, optimized geometry, DFT PBE; space group = No. 166; total magnetic moment = 1.806 μB per cell; calculated volume = 113.91 Å³ per cell; DFT total energy = -6.440 eV per atom
1.0
4.030 0.000 0.000
-2.015 3.419 -0.713
0.000 -0.637 8.400
Tb U H
2 2 2
direct
0.113 0.226 0.840
0.887 0.774 0.160
0.314 0.628 0.442
0.686 0.372 0.558
0.215 0.429 0.143
0.785 0.571 0.857

---

# 4
Tb12V3H5, optimized geometry, DFT PBE; space group = No. 230; total magnetic moment = 34.805 μB per cell; calculated volume = 1826.30 Å³ per cell; DFT total energy = -4.959 eV per atom
1.0
-4.280 -12.624 0.449
2.856 4.168 12.343
-9.527 7.742 -5.214
H Tb V
20 48 12
direct
0.125 0.375 0.250
0.000 0.500 0.000
0.000 0.000 0.000
0.375 0.250 0.125
0.500 0.000 0.500
0.500 0.500 0.000
0.125 0.750 0.375
0.750 0.125 0.875
0.750 0.625 0.375
0.375 0.125 0.750
0.625 0.875 0.250
0.500 0.500 0.500
0.500 0.000 0.000
0.000 0.000 0.500
0.250 0.375 0.625
0.250 0.875 0.125
0.000 0.500 0.500
0.875 0.250 0.625
0.625 0.750 0.875
0.875 0.625 0.750
0.709 0.115 0.019
0.310 0.519 0.404
0.981 0.385 0.291
0.519 0.209 0.115
0.594 0.709 0.690
0.981 0.596 0.190
0.310 0.791 0.406
0.096 0.906 0.115
0.596 0.981 0.690
0.709 0.594 0.190
0.791 0.481 0.385
0.810 0.904 0.019
0.115 0.709 0.519
0.385 0.404 0.094
0.094 0.904 0.385
0.406 0.115 0.596
0.094 0.190 0.209
0.481 0.690 0.096
0.810 0.906 0.291
0.115 0.406 0.096
0.385 0.981 0.791
0.596 0.615 0.406
0.904 0.810 0.519
0.791 0.310 0.906
0.404 0.385 0.594
0.096 0.190 0.481
0.209 0.690 0.094
0.190 0.094 0.709
0.615 0.019 0.209
0.885 0.594 0.904
0.519 0.310 0.904
0.594 0.885 0.404
0.906 0.810 0.791
0.906 0.096 0.615
0.885 0.291 0.481
0.190 0.096 0.981
0.615 0.596 0.906
0.404 0.019 0.310
0.291 0.406 0.810
0.209 0.519 0.615
0.904 0.094 0.885
0.690 0.209 0.594
0.481 0.791 0.885
0.019 0.404 0.810
0.406 0.291 0.310
0.019 0.615 0.709
0.690 0.481 0.596
0.291 0.885 0.981
0.750 0.375 0.125
0.875 0.750 0.125
0.375 0.750 0.625
0.250 0.125 0.375
0.875 0.125 0.250
0.375 0.625 0.250
0.625 0.375 0.750
0.125 0.875 0.750
0.750 0.875 0.625
0.625 0.250 0.375
0.125 0.250 0.875
0.250 0.625 0.875

---

# 5
Tb2VH, optimized geometry, DFT PBE; space group = No. 166; total magnetic moment = 3.018 μB per cell; calculated volume = 81.78 Å³ per cell; DFT total energy = -4.991 eV per atom
1.0
3.318 0.000 0.000
1.659 2.873 0.000
1.659 0.958 8.580
H Tb V
1 2 1
direct
0.500 0.500 0.500
0.111 0.111 0.668
0.889 0.889 0.332
0.000 0.000 0.000

---

# 6
TbVH3, optimized geometry, DFT PBE; space group = No. 221; total magnetic moment = 0.001 μB per cell; calculated volume = 47.73 Å³ per cell; DFT total energy = -5.078 eV per atom
1.0
3.627 0.000 0.000
0.000 3.627 0.000
0.000 0.000 3.627
H Tb V
3 1 1
direct
0.000 0.500 0.000
0.000 0.000 0.500
0.500 0.000 0.000
0.500 0.500 0.500
0.000 0.000 0.000

---

# 7
TbVH, optimized geometry, DFT PBE; space group = No. 70; total magnetic moment = 0.017 μB per cell; calculated volume = 187.31 Å³ per cell; DFT total energy = -5.627 eV per atom
1.0
4.108 0.000 0.000
2.054 4.689 0.000
2.054 0.000 9.724
H Tb V
4 4 4
direct
0.581 0.500 0.839
0.919 0.500 0.161
0.169 0.000 0.661
0.831 0.000 0.339
0.169 0.500 0.661
0.331 0.500 0.339
0.581 0.000 0.839
0.419 0.000 0.161
0.957 0.086 0.500
0.543 0.914 0.500
0.793 0.414 0.000
0.207 0.586 0.000

---

# 8
Tb2YH8, optimized geometry, DFT PBE; space group = No. 71; total magnetic moment = 0.000 μB per cell; calculated volume = 103.57 Å³ per cell; DFT total energy = -4.494 eV per atom
1.0
0.291 2.844 -2.289
0.961 -3.231 -3.892
-6.004 -0.118 2.021
Tb Y H
2 1 8
direct
0.169 0.669 0.337
0.831 0.331 0.663
0.500 0.000 0.000
0.660 0.900 0.321
0.340 0.580 0.679
0.160 0.160 0.321
0.000 0.269 0.000
0.840 0.840 0.679
0.660 0.420 0.321
0.340 0.100 0.679
0.000 0.731 0.000

---

- Number 3 is which compound?
  TbUH